[1]
The following is a DFT calculation (GGA-PBE) of a geometry-optimized Ca3ScC2N6 structure.

```
12
Lattice="-1.308 -4.537 2.502 -0.441 0.343 -5.315 5.839 -2.022 -0.614" Properties=species:S:1:pos:R:3 pbc="T T T"
Ca 3.258 -2.664 -3.129
C 3.237 -4.384 -0.551
Ca 0.000 0.000 0.000
N 3.636 -3.085 -0.500
N 3.060 -5.083 0.602
N 1.225 -1.284 -1.688
N 0.455 -3.131 -2.926
Ca 0.833 -3.552 -0.298
N 2.866 -4.932 -1.739
C 0.854 -1.832 -2.876
Sc 2.920 -1.011 -0.307
N 1.031 -1.133 -4.029
```

Summary:
Calculated density: 3.0 g/cm³
V: 153.6 Å³ per cell
VASP energy: -7.536 eV/atom
SG: P-3m1 (164)

---

[2]
The following is a DFT calculation (GGA-PBE) of a geometry-optimized CaCSe2N structure.

```
5
Lattice="5.753 0.000 0.000 0.000 5.753 0.000 0.000 0.000 2.591" Properties=species:S:1:pos:R:3 pbc="T T T"
Ca 2.877 2.877 1.296
Se 2.877 0.000 0.000
N 0.000 0.000 1.296
C 0.000 0.000 0.000
Se 0.000 2.877 0.000
```

Summary:
Calculated density: 4.3 g/cm³
V: 85.8 Å³ per cell
SG: P4/mmm (123)
Polymorph energy (0 for the lowest one): 0 meV per atom